1.
Below is a relaxed Dy12V3H5 crystal, with properties calculated at the GGA-PBE level.

```
Dy12V3H5
1.0
13.2677 0.0000 0.0000
-4.4226 12.5089 0.0000
-4.4226 -6.2544 10.8330
H V Dy
20 12 48
Direct
0.1250 0.3750 0.2500
0.0000 0.5000 0.0000
0.0000 0.0000 0.0000
0.3750 0.2500 0.1250
0.5000 0.0000 0.5000
0.5000 0.5000 0.0000
0.1250 0.7500 0.3750
0.7500 0.1250 0.8750
0.7500 0.6250 0.3750
0.3750 0.1250 0.7500
0.6250 0.8750 0.2500
0.5000 0.5000 0.5000
0.5000 0.0000 0.0000
0.0000 0.0000 0.5000
0.2500 0.3750 0.6250
0.2500 0.8750 0.1250
0.0000 0.5000 0.5000
0.8750 0.2500 0.6250
0.6250 0.7500 0.8750
0.8750 0.6250 0.7500
0.7500 0.3750 0.1250
0.8750 0.7500 0.1250
0.3750 0.7500 0.6250
0.2500 0.1250 0.3750
0.8750 0.1250 0.2500
0.3750 0.6250 0.2500
0.6250 0.3750 0.7500
0.1250 0.8750 0.7500
0.7500 0.8750 0.6250
0.6250 0.2500 0.3750
0.1250 0.2500 0.8750
0.2500 0.6250 0.8750
0.7086 0.1146 0.0184
0.3098 0.5184 0.4038
0.9816 0.3854 0.2914
0.5184 0.2086 0.1146
0.5940 0.7086 0.6902
0.9816 0.5962 0.1902
0.3098 0.7914 0.4060
0.0962 0.9060 0.1146
0.5962 0.9816 0.6902
0.7086 0.5940 0.1902
0.7914 0.4816 0.3854
0.8098 0.9038 0.0184
0.1146 0.7086 0.5184
0.3854 0.4038 0.0940
0.0940 0.9038 0.3854
0.4060 0.1146 0.5962
0.0940 0.1902 0.2086
0.4816 0.6902 0.0962
0.8098 0.9060 0.2914
0.1146 0.4060 0.0962
0.3854 0.9816 0.7914
0.5962 0.6146 0.4060
0.9038 0.8098 0.5184
0.7914 0.3098 0.9060
0.4038 0.3854 0.5940
0.0962 0.1902 0.4816
0.2086 0.6902 0.0940
0.1902 0.0940 0.7086
0.6146 0.0184 0.2086
0.8854 0.5940 0.9038
0.5184 0.3098 0.9038
0.5940 0.8854 0.4038
0.9060 0.8098 0.7914
0.9060 0.0962 0.6146
0.8854 0.2914 0.4816
0.1902 0.0962 0.9816
0.6146 0.5962 0.9060
0.4038 0.0184 0.3098
0.2914 0.4060 0.8098
0.2086 0.5184 0.6146
0.9038 0.0940 0.8854
0.6902 0.2086 0.5940
0.4816 0.7914 0.8854
0.0184 0.4038 0.8098
0.4060 0.2914 0.3098
0.0184 0.6146 0.7086
0.6902 0.4816 0.5962
0.2914 0.8854 0.9816
```

Its calculated total energy is -4.95 eV/atom.

2.
Below is a relaxed DyVH crystal, with properties calculated at the GGA-PBE level.

```
DyVH
1.0
4.5905 0.0000 0.0000
0.0000 4.5905 0.0000
-2.2952 -2.2952 4.1148
H V Dy
2 2 2
Direct
0.7656 0.7656 0.5312
0.0156 0.5156 0.0312
0.2451 0.7451 0.4902
0.9951 0.9951 0.9902
0.4893 0.4893 0.9786
0.7393 0.2393 0.4786
```

Its calculated total energy is -5.49 eV/atom.

3.
Below is a relaxed DyHW crystal, with properties calculated at the GGA-PBE level.

```
DyHW
1.0
3.2758 0.0000 -0.0005
0.0000 6.7120 -0.0146
-0.0013 0.0201 9.0830
H W Dy
4 4 4
Direct
0.2501 0.6250 0.5928
0.7500 0.8749 0.4072
0.7499 0.3750 0.4072
0.2500 0.1251 0.5928
0.2500 0.8750 0.0587
0.7500 0.6250 0.9412
0.7500 0.1250 0.9413
0.2500 0.3750 0.0588
0.2499 0.6250 0.3426
0.7501 0.8750 0.6575
0.7501 0.3750 0.6574
0.2499 0.1250 0.3425
```

Its calculated total energy is -6.81 eV/atom.

4.
Below is a relaxed Dy2YH8 crystal, with properties calculated at the GGA-PBE level.

```
Dy2YH8
1.0
-3.1732 1.1415 -1.3784
0.2524 -3.6469 -3.6010
-1.2094 -2.1876 5.7868
Dy Y H
2 1 8
Direct
0.1687 0.6687 0.3375
0.8313 0.3313 0.6625
0.5000 0.0000 0.0000
0.6612 0.9003 0.3223
0.3388 0.5780 0.6777
0.1595 0.1595 0.3190
0.0000 0.2710 0.0000
0.8405 0.8405 0.6810
0.6612 0.4220 0.3223
0.3388 0.0997 0.6777
0.0000 0.7290 0.0000
```

Its calculated total energy is -4.49 eV/atom.

no.,total moment (μB per atom)
1,0.434
2,0.297
3,0.000
4,0.000